<w>
A plane-wave DFT calculation with PBE was carried out for a relaxed KInRh3 crystal.

Cell and atoms, written as extended XYZ:
```
5
Lattice="-3.511 0.570 3.557 -3.599 -0.782 -3.427 0.165 -4.937 0.954" Properties=species:S:1:pos:R:3 pbc="T T T"
K -3.472 -2.575 0.542
Rh -1.799 -0.391 -1.713
Rh 0.083 -2.468 0.477
Rh -1.755 0.285 1.779
In 0.000 0.000 0.000
```

***

<x>
A plane-wave DFT calculation with PBE was carried out for a relaxed KInRh3 crystal.

Cell and atoms, written as extended XYZ:
```
5
Lattice="-3.873 -2.660 -0.792 1.774 -1.327 -4.219 2.135 -3.724 2.069" Properties=species:S:1:pos:R:3 pbc="T T T"
K 0.000 0.000 0.000
Rh 0.887 -0.663 -2.109
Rh 1.067 -1.862 1.034
Rh -1.936 -1.330 -0.396
In 0.018 -3.855 -1.471
```

***

The structure with the greatest stability is <w>.

***

<w>
A plane-wave DFT calculation with PBE was carried out for a relaxed KInSn2Rh crystal.

Cell and atoms, written as extended XYZ:
```
5
Lattice="-1.181 3.804 3.429 -3.053 -3.348 2.664 4.082 -1.383 2.940" Properties=species:S:1:pos:R:3 pbc="T T T"
K -0.076 -0.463 4.516
Rh 0.000 0.000 0.000
Sn -1.526 -1.674 1.332
Sn -0.590 1.902 1.714
In 2.041 -0.691 1.470
```

***

<x>
A plane-wave DFT calculation with PBE was carried out for a relaxed KInSn2Rh crystal.

Cell and atoms, written as extended XYZ:
```
5
Lattice="-3.517 4.358 -1.038 -3.111 -3.311 -3.360 -3.200 -1.520 4.460" Properties=species:S:1:pos:R:3 pbc="T T T"
K 0.000 0.000 0.000
Rh -4.914 -0.236 0.031
Sn -1.600 -0.760 2.230
Sn -1.759 2.179 -0.519
In -1.556 -1.655 -1.680
```

***

The structure with the greatest stability is <w>.

***

<w>
A plane-wave DFT calculation with PBE was carried out for a relaxed K2In2Ru crystal.

Cell and atoms, written as extended XYZ:
```
10
Lattice="-7.000 -7.835 0.139 6.270 -5.488 6.402 -1.347 1.245 2.387" Properties=species:S:1:pos:R:3 pbc="T T T"
Ru 0.000 0.000 0.000
Ru -0.365 -6.662 3.270
K 2.912 -6.806 5.195
K -1.276 -10.122 4.562
K -3.643 -6.517 1.346
K 0.546 -3.202 1.979
In 2.388 -3.468 5.055
In 0.755 -9.020 7.032
In -4.465 -8.610 3.872
In -2.832 -3.058 1.896
```

***

<x>
A plane-wave DFT calculation with PBE was carried out for a relaxed K2In2Ru crystal.

Cell and atoms, written as extended XYZ:
```
10
Lattice="-5.497 4.568 1.137 1.033 -0.535 7.143 3.941 4.795 -0.211" Properties=species:S:1:pos:R:3 pbc="T T T"
Ru 0.000 0.000 0.000
Ru -2.232 2.016 4.140
K 1.719 2.824 4.891
K -0.868 5.024 6.573
K -2.241 6.004 3.179
K 0.346 3.803 1.497
In -0.849 0.966 6.104
In -3.713 3.310 5.874
In -3.615 3.067 2.176
In -0.751 0.723 2.406
```

***

<y>
A plane-wave DFT calculation with PBE was carried out for a relaxed K2In2Ru crystal.

Cell and atoms, written as extended XYZ:
```
5
Lattice="4.131 0.000 0.000 0.000 4.131 0.000 2.066 2.066 10.850" Properties=species:S:1:pos:R:3 pbc="T T T"
Ru 0.000 0.000 0.000
K 2.066 2.066 2.049
K 4.131 4.131 8.801
In 4.131 2.066 5.425
In 2.066 4.131 5.425
```

***

The structure with the greatest stability is <x>.

***

<w>
A plane-wave DFT calculation with PBE was carried out for a relaxed KInS crystal.

Cell and atoms, written as extended XYZ:
```
6
Lattice="-3.446 0.379 -2.016 3.123 0.149 -5.310 1.204 -7.649 0.494" Properties=species:S:1:pos:R:3 pbc="T T T"
K 0.591 -2.696 -1.517
K 0.290 -4.425 -5.315
In 0.299 -6.887 -1.805
In 0.583 -0.234 -5.028
S -1.306 -4.997 -2.695
S 2.188 -2.124 -4.138
```

***

<x>
A plane-wave DFT calculation with PBE was carried out for a relaxed KInS crystal.

Cell and atoms, written as extended XYZ:
```
12
Lattice="-6.589 -2.743 2.111 1.877 -6.652 -2.760 5.380 2.708 7.179" Properties=species:S:1:pos:R:3 pbc="T T T"
K -1.528 -5.243 1.553
K 2.196 -1.445 4.977
K -2.610 -1.822 2.605
K -0.954 -2.912 6.360
S -2.851 -4.498 4.335
S -3.425 -6.830 -0.472
S -0.713 -0.235 4.630
S -1.287 -2.566 -0.177
In 1.225 -2.161 1.024
In 4.854 -4.133 3.233
In 2.164 -5.487 -0.356
In 1.560 -5.504 4.289
```

***

<y>
A plane-wave DFT calculation with PBE was carried out for a relaxed KInS crystal.

Cell and atoms, written as extended XYZ:
```
3
Lattice="-3.539 0.590 -5.324 -2.607 -2.834 1.419 -0.619 3.966 0.851" Properties=species:S:1:pos:R:3 pbc="T T T"
K -4.131 -0.203 -2.061
S -2.354 1.878 -0.573
In -0.280 0.047 -0.421
```

***

The structure with the greatest stability is <w>.

***

<w>
A plane-wave DFT calculation with PBE was carried out for a relaxed KIn3Sb3 crystal.

Cell and atoms, written as extended XYZ:
```
14
Lattice="-3.261 7.699 1.402 -8.000 0.789 2.692 -1.060 2.494 9.469" Properties=species:S:1:pos:R:3 pbc="T T T"
K -4.816 5.324 10.826
K -7.505 5.659 2.737
In -8.470 5.708 8.705
In -4.249 7.741 7.386
In -4.735 2.898 7.347
In -7.586 8.085 6.216
In -8.072 3.242 6.177
In -3.851 5.275 4.858
Sb -5.684 2.989 4.471
Sb -5.184 7.879 4.507
Sb -9.450 5.835 5.841
Sb -2.870 5.148 7.722
Sb -7.137 3.104 9.056
Sb -6.637 7.994 9.092
```

***

<x>
A plane-wave DFT calculation with PBE was carried out for a relaxed KIn3Sb3 crystal.

Cell and atoms, written as extended XYZ:
```
14
Lattice="8.218 0.000 0.000 0.000 8.218 0.000 0.000 0.000 8.218" Properties=species:S:1:pos:R:3 pbc="T T T"
Sb 0.000 2.055 4.109
Sb 0.000 6.164 4.109
Sb 4.109 0.000 6.164
Sb 6.164 4.109 0.000
Sb 4.109 0.000 2.055
Sb 2.055 4.109 0.000
K 4.109 4.109 4.109
K 0.000 0.000 0.000
In 2.055 0.000 4.109
In 0.000 4.109 2.055
In 4.109 6.164 0.000
In 6.164 0.000 4.109
In 0.000 4.109 6.164
In 4.109 2.055 0.000
```

***

The structure with the greatest stability is <w>.

***

<w>
A plane-wave DFT calculation with PBE was carried out for a relaxed KIn2Sb2 crystal.

Cell and atoms, written as extended XYZ:
```
10
Lattice="-3.692 4.871 6.222 3.229 -5.339 6.095 3.298 2.233 0.209" Properties=species:S:1:pos:R:3 pbc="T T T"
Sb 3.192 -1.625 5.058
Sb 1.961 -0.207 9.330
Sb -0.357 3.390 7.468
Sb 0.874 1.972 3.196
K 0.000 0.000 0.000
K -0.232 -0.234 6.159
In 1.444 -2.842 7.580
In -1.164 0.853 9.253
In -1.907 2.374 4.738
In 0.700 -1.321 3.064
```

***

<x>
A plane-wave DFT calculation with PBE was carried out for a relaxed KIn2Sb2 crystal.

Cell and atoms, written as extended XYZ:
```
10
Lattice="8.794 0.000 0.000 0.000 8.794 0.000 0.000 0.000 4.091" Properties=species:S:1:pos:R:3 pbc="T T T"
Sb 3.242 7.639 0.000
Sb 7.639 5.551 0.000
Sb 5.551 1.155 0.000
Sb 1.155 3.242 0.000
K 0.000 0.000 0.000
K 4.397 4.397 0.000
In 1.283 5.680 2.046
In 5.680 7.511 2.046
In 7.511 3.114 2.046
In 3.114 1.283 2.046
```

***

<y>
A plane-wave DFT calculation with PBE was carried out for a relaxed KIn2Sb2 crystal.

Cell and atoms, written as extended XYZ:
```
10
Lattice="4.929 0.000 0.000 0.000 8.296 -0.431 0.000 0.493 8.728" Properties=species:S:1:pos:R:3 pbc="T T T"
K 3.697 4.270 1.966
K 1.232 4.518 6.331
In 3.697 7.490 4.736
In 1.232 7.243 0.372
In 1.232 1.298 3.561
In 3.697 1.545 7.925
Sb 1.232 1.933 0.629
Sb 1.232 6.608 3.304
Sb 3.697 2.180 4.993
Sb 3.697 6.855 7.668
```

***

The structure with the greatest stability is <y>.

***

<w>
A plane-wave DFT calculation with PBE was carried out for a relaxed KIn2Sb2 crystal.

Cell and atoms, written as extended XYZ:
```
5
Lattice="4.942 0.000 0.000 0.000 4.942 0.000 2.471 2.471 7.433" Properties=species:S:1:pos:R:3 pbc="T T T"
Sb 2.471 2.471 1.990
Sb 4.942 4.942 5.443
K 0.000 0.000 0.000
In 4.942 2.471 3.716
In 2.471 4.942 3.716
```

***

<x>
A plane-wave DFT calculation with PBE was carried out for a relaxed KIn2Sb2 crystal.

Cell and atoms, written as extended XYZ:
```
10
Lattice="8.847 0.097 0.101 4.384 6.718 -0.827 4.341 -0.876 6.059" Properties=species:S:1:pos:R:3 pbc="T T T"
K 11.323 4.898 0.976
K 6.248 1.041 4.357
In 7.742 3.141 1.183
In 14.220 6.077 3.815
In 3.352 -0.138 1.518
In 9.830 2.798 4.150
Sb 12.613 3.683 4.603
Sb 9.383 0.776 1.982
Sb 4.959 2.256 0.730
Sb 8.189 5.163 3.351
```

***

The structure with the greatest stability is <w>.

***

<w>
A plane-wave DFT calculation with PBE was carried out for a relaxed KTlInSb crystal.

Cell and atoms, written as extended XYZ:
```
4
Lattice="-0.036 3.554 3.422 -2.468 -0.664 4.220 4.844 -1.764 5.439" Properties=species:S:1:pos:R:3 pbc="T T T"
K 0.718 1.342 9.283
Tl 0.599 0.275 3.278
In -1.148 1.676 5.361
Sb 4.336 -1.520 5.180
```

***

<x>
A plane-wave DFT calculation with PBE was carried out for a relaxed KTlInSb crystal.

Cell and atoms, written as extended XYZ:
```
4
Lattice="-2.597 4.575 -2.111 -3.782 2.817 3.146 1.257 5.151 2.006" Properties=species:S:1:pos:R:3 pbc="T T T"
Sb -3.841 9.407 2.281
Tl 0.000 0.000 0.000
K -1.280 3.136 0.760
In -2.561 6.271 1.521
```

***

The structure with the greatest stability is <w>.

***

<w>
A plane-wave DFT calculation with PBE was carried out for a relaxed KScIn3 crystal.

Cell and atoms, written as extended XYZ:
```
5
Lattice="5.687 0.000 0.000 0.000 5.687 0.000 0.000 0.000 5.687" Properties=species:S:1:pos:R:3 pbc="T T T"
Sc 2.843 2.843 2.843
K 0.000 0.000 0.000
In 0.000 2.843 0.000
In 0.000 0.000 2.843
In 2.843 0.000 0.000
```

***

<x>
A plane-wave DFT calculation with PBE was carried out for a relaxed KScIn3 crystal.

Cell and atoms, written as extended XYZ:
```
5
Lattice="-5.317 -0.385 -2.001 -0.645 -4.986 2.675 -1.933 2.725 4.612" Properties=species:S:1:pos:R:3 pbc="T T T"
Sc 0.000 0.000 0.000
K -3.948 -1.323 2.643
In -0.323 -2.493 1.338
In -0.967 1.362 2.306
In -2.659 -0.193 -1.001
```

***

The structure with the greatest stability is <x>.

***

<w>
A plane-wave DFT calculation with PBE was carried out for a relaxed KSc3In crystal.

Cell and atoms, written as extended XYZ:
```
5
Lattice="5.011 0.000 0.000 0.000 5.011 0.000 0.000 0.000 5.011" Properties=species:S:1:pos:R:3 pbc="T T T"
Sc 0.000 2.505 0.000
Sc 0.000 0.000 2.505
Sc 2.505 0.000 0.000
K 0.000 0.000 0.000
In 2.505 2.505 2.505
```

***

<x>
A plane-wave DFT calculation with PBE was carried out for a relaxed KSc3In crystal.

Cell and atoms, written as extended XYZ:
```
5
Lattice="-1.708 -3.924 -3.599 0.083 -3.799 4.103 -5.324 1.199 1.218" Properties=species:S:1:pos:R:3 pbc="T T T"
Sc 0.041 -1.899 2.051
Sc -2.662 0.600 0.609
Sc -0.854 -1.962 -1.800
K -3.474 -3.262 0.861
In 0.000 0.000 0.000
```

***

The structure with the greatest stability is <x>.

***

<w>
A plane-wave DFT calculation with PBE was carried out for a relaxed K2InSe2 crystal.

Cell and atoms, written as extended XYZ:
```
10
Lattice="5.133 0.000 0.000 0.000 7.787 0.000 -2.567 0.000 8.654" Properties=species:S:1:pos:R:3 pbc="T T T"
K 2.567 5.545 8.141
K 2.567 3.248 5.137
K 0.000 7.141 3.517
K 0.000 1.652 0.513
In 0.000 0.524 6.993
In 2.567 4.417 1.661
Se 0.000 3.308 7.683
Se 2.567 0.102 5.957
Se 0.000 3.995 2.697
Se 2.567 7.201 0.971
```

***

<x>
A plane-wave DFT calculation with PBE was carried out for a relaxed K2InSe2 crystal.

Cell and atoms, written as extended XYZ:
```
10
Lattice="8.135 0.000 0.000 0.000 8.135 0.000 0.000 0.000 4.729" Properties=species:S:1:pos:R:3 pbc="T T T"
K 1.090 5.157 2.365
K 5.157 7.046 2.365
K 7.046 2.978 2.365
K 2.978 1.090 2.365
Se 2.578 6.645 0.000
Se 6.645 5.557 0.000
Se 5.557 1.490 0.000
Se 1.490 2.578 0.000
In 0.000 0.000 0.000
In 4.068 4.068 0.000
```

***

The structure with the greatest stability is <w>.